First-principles (PBE-GGA) data for crystalline U4InPt15 at its relaxed geometry, as listed in Alexandria.

Unit cell a=4.1451 b=4.1451 c=20.6303 alpha=90.00 beta=90.00 gamma=90.00
With the nearest neighbours (Å) after each atom.
Positions (direct):
U 0.0000 0.0000 0.1956  12 Pt 2.88-2.95
U 0.0000 0.0000 0.3984  12 Pt 2.93-2.95
U 0.0000 0.0000 0.6016  12 Pt 2.93-2.95
U 0.0000 0.0000 0.8044  12 Pt 2.88-2.95
In 0.0000 0.0000 0.0000  12 Pt 2.91-2.93
Pt 0.5000 0.5000 0.0000  8 Pt 2.91, 4 In 2.93
Pt 0.5000 0.5000 0.1969  8 Pt 2.90-2.93, 4 U 2.93
Pt 0.5000 0.5000 0.3989  4 U 2.93, 8 Pt 2.94-2.95
Pt 0.5000 0.5000 0.6011  4 U 2.93, 8 Pt 2.94-2.95
Pt 0.5000 0.5000 0.8031  8 Pt 2.90-2.93, 4 U 2.93
Pt 0.5000 0.0000 0.0988  2 U 2.88, 8 Pt 2.90-2.93, 2 In 2.91
Pt 0.5000 0.0000 0.2974  8 Pt 2.93-2.95, 4 U 2.94-2.95
Pt 0.5000 0.0000 0.5000  8 Pt 2.93-2.94, 4 U 2.95
Pt 0.5000 0.0000 0.7026  8 Pt 2.93-2.95, 4 U 2.94-2.95
Pt 0.5000 0.0000 0.9012  2 U 2.88, 8 Pt 2.90-2.93, 2 In 2.91
Pt 0.0000 0.5000 0.0988  2 U 2.88, 8 Pt 2.90-2.93, 2 In 2.91
Pt 0.0000 0.5000 0.2974  8 Pt 2.93-2.95, 4 U 2.94-2.95
Pt 0.0000 0.5000 0.5000  8 Pt 2.93-2.94, 4 U 2.95
Pt 0.0000 0.5000 0.7026  8 Pt 2.93-2.95, 4 U 2.94-2.95
Pt 0.0000 0.5000 0.9012  2 U 2.88, 8 Pt 2.90-2.93, 2 In 2.91

Space group: P4/mmm (123)

First-principles (PBE-GGA) data for crystalline U2InPt9 at its relaxed geometry, as listed in Alexandria.

Unit cell a=4.1315 b=4.1315 c=12.3091 alpha=90.00 beta=90.00 gamma=90.00
With the nearest neighbours (Å) after each atom.
Positions (direct):
U 0.0000 0.0000 0.3294  12 Pt 2.88-2.95
U 0.0000 0.0000 0.6706  12 Pt 2.88-2.95
In 0.0000 0.0000 0.0000  12 Pt 2.91-2.92
Pt 0.5000 0.5000 0.0000  8 Pt 2.91, 4 In 2.92
Pt 0.5000 0.5000 0.3309  8 Pt 2.89-2.93, 4 U 2.92
Pt 0.5000 0.5000 0.6691  8 Pt 2.89-2.93, 4 U 2.92
Pt 0.5000 0.0000 0.1665  2 U 2.88, 8 Pt 2.89-2.92, 2 In 2.91
Pt 0.5000 0.0000 0.5000  8 Pt 2.92-2.93, 4 U 2.95
Pt 0.5000 0.0000 0.8335  2 U 2.88, 8 Pt 2.89-2.92, 2 In 2.91
Pt 0.0000 0.5000 0.1665  2 U 2.88, 8 Pt 2.89-2.92, 2 In 2.91
Pt 0.0000 0.5000 0.5000  8 Pt 2.92-2.93, 4 U 2.95
Pt 0.0000 0.5000 0.8335  2 U 2.88, 8 Pt 2.89-2.92, 2 In 2.91

Space group: P4/mmm (123)

First-principles (PBE-GGA) data for crystalline U2In3Pt3 at its relaxed geometry, as listed in Alexandria.

Unit cell a=2.9267 b=8.2212 c=8.2212 alpha=120.00 beta=90.00 gamma=90.00
With the nearest neighbours (Å) after each atom.
Positions (direct):
U 0.0000 0.6667 0.3333  2 U 2.93, 6 Pt 3.05, 3 In 3.23
U 0.0000 0.3333 0.6667  2 U 2.93, 6 Pt 3.05, 3 In 3.23
In 0.0000 0.2339 0.2339  4 Pt 2.93, 2 In 2.93, 2 U 3.23
In 0.0000 0.0000 0.7661  4 Pt 2.93, 2 In 2.93, 2 U 3.23
In 0.0000 0.7661 0.0000  4 Pt 2.93, 2 In 2.93, 2 U 3.23
Pt 0.5000 0.6507 0.6507  4 In 2.93, 2 Pt 2.93, 4 U 3.05
Pt 0.5000 0.0000 0.3493  4 In 2.93, 2 Pt 2.93, 4 U 3.05
Pt 0.5000 0.3493 0.0000  4 In 2.93, 2 Pt 2.93, 4 U 3.05

Space group: P-62m (189)

First-principles (PBE-GGA) data for crystalline VIn2Pt2 at its relaxed geometry, as listed in Alexandria.

Unit cell a=3.9188 b=3.9188 c=7.1285 alpha=74.05 beta=74.05 gamma=90.00
With the nearest neighbours (Å) after each atom.
Positions (direct):
In 0.3931 0.3931 0.2139  4 Pt 2.71, 1 In 2.81
In 0.6069 0.6069 0.7861  4 Pt 2.71, 1 In 2.81
Pt 0.7500 0.2500 0.5000  4 In 2.71, 4 Pt 2.77
Pt 0.2500 0.7500 0.5000  4 In 2.71, 4 Pt 2.77
V 0.0000 0.0000 0.0000  8 In 3.11

Distance to the lowest polymorph of the same formula, eV/atom: 0.307
Space group: I4/mmm (139)

First-principles (PBE-GGA) data for crystalline VIn2Pt2 at its relaxed geometry, as listed in Alexandria.

Unit cell a=6.9993 b=6.9993 c=3.8633 alpha=90.00 beta=90.00 gamma=90.00
With the nearest neighbours (Å) after each atom.
Positions (direct):
In 0.1675 0.6675 0.5000  6 Pt 2.73-2.89
In 0.6675 0.8325 0.5000  6 Pt 2.73-2.89
In 0.8325 0.3325 0.5000  6 Pt 2.73-2.89
In 0.3325 0.1675 0.5000  6 Pt 2.73-2.89
Pt 0.3624 0.8624 0.0000  2 V 2.71, 1 Pt 2.72, 6 In 2.73-2.89
Pt 0.8624 0.6376 0.0000  2 V 2.71, 1 Pt 2.72, 6 In 2.73-2.89
Pt 0.6376 0.1376 0.0000  2 V 2.71, 1 Pt 2.72, 6 In 2.73-2.89
Pt 0.1376 0.3624 0.0000  2 V 2.71, 1 Pt 2.72, 6 In 2.73-2.89
V 0.0000 0.0000 0.0000  4 Pt 2.71
V 0.5000 0.5000 0.0000  4 Pt 2.71

Distance to the lowest polymorph of the same formula, eV/atom: 0.000
Space group: P4/mbm (127)

First-principles (PBE-GGA) data for crystalline VInPt2 at its relaxed geometry, as listed in Alexandria.

Unit cell a=7.2011 b=7.2011 c=5.8105 alpha=51.71 beta=51.71 gamma=90.00
With the nearest neighbours (Å) after each atom.
Positions (direct):
In 0.0000 0.0000 0.0000  4 Pt 2.79, 2 V 2.80
In 0.7500 0.2500 0.5000  4 Pt 2.79, 2 V 2.80
Pt 0.5955 0.1250 0.2500  2 V 2.50, 2 In 2.79
Pt 0.1545 0.6250 0.2500  2 V 2.50, 2 In 2.79
Pt 0.3750 0.4045 0.7500  2 V 2.50, 2 In 2.79
Pt 0.8750 0.8455 0.7500  2 V 2.50, 2 In 2.79
V 0.5000 0.5000 0.0000  4 Pt 2.50, 2 In 2.80
V 0.2500 0.7500 0.5000  4 Pt 2.50, 2 In 2.80

Space group: I-42d (122)

First-principles (PBE-GGA) data for crystalline VIn2Pt at its relaxed geometry, as listed in Alexandria.

Unit cell a=7.6324 b=7.6324 c=6.1131 alpha=51.37 beta=51.37 gamma=90.00
With the nearest neighbours (Å) after each atom.
Positions (direct):
In 0.6462 0.1250 0.2500  2 Pt 2.68, 2 In 2.89, 2 V 2.91
In 0.1038 0.6250 0.2500  2 Pt 2.68, 2 In 2.89, 2 V 2.91
In 0.3750 0.3538 0.7500  2 Pt 2.68, 2 In 2.89, 2 V 2.91
In 0.8750 0.8962 0.7500  2 Pt 2.68, 2 In 2.89, 2 V 2.91
Pt 0.0000 0.0000 0.0000  4 In 2.68, 2 V 2.87
Pt 0.7500 0.2500 0.5000  4 In 2.68, 2 V 2.87
V 0.5000 0.5000 0.0000  2 Pt 2.87, 4 In 2.91
V 0.2500 0.7500 0.5000  2 Pt 2.87, 4 In 2.91

Space group: I-42d (122)

First-principles (PBE-GGA) data for crystalline VIn3Pt at its relaxed geometry, as listed in Alexandria.

Unit cell a=5.0813 b=5.0813 c=5.0813 alpha=90.00 beta=90.00 gamma=90.00
With the nearest neighbours (Å) after each atom.
Positions (direct):
In 0.0000 0.5000 0.0000  2 V 2.54
In 0.0000 0.0000 0.5000  2 V 2.54
In 0.5000 0.0000 0.0000  2 V 2.54
Pt 0.5000 0.5000 0.5000  12 In 3.59
V 0.0000 0.0000 0.0000  6 In 2.54

Distance to the lowest polymorph of the same formula, eV/atom: 0.480
Space group: Pm-3m (221)

First-principles (PBE-GGA) data for crystalline VInPt2 at its relaxed geometry, as listed in Alexandria.

Unit cell a=2.8763 b=2.8763 c=7.8440 alpha=90.00 beta=90.00 gamma=90.00
With the nearest neighbours (Å) after each atom.
Positions (direct):
V 0.5000 0.5000 0.0000  8 Pt 2.69, 4 V 2.88
Pt 0.0000 0.0000 0.7750  4 V 2.69, 4 Pt 2.88, 4 In 2.96
Pt 0.0000 0.0000 0.2250  4 V 2.69, 4 Pt 2.88, 4 In 2.96
In 0.5000 0.5000 0.5000  4 In 2.88, 8 Pt 2.96

Space group: P4/mmm (123)

First-principles (PBE-GGA) data for crystalline VIn3Pt at its relaxed geometry, as listed in Alexandria.

Unit cell a=5.1525 b=5.1525 c=5.1525 alpha=90.00 beta=90.00 gamma=90.00
With the nearest neighbours (Å) after each atom.
Positions (direct):
In 0.0000 0.5000 0.0000  2 Pt 2.58
In 0.0000 0.0000 0.5000  2 Pt 2.58
In 0.5000 0.0000 0.0000  2 Pt 2.58
Pt 0.0000 0.0000 0.0000  6 In 2.58
V 0.5000 0.5000 0.5000  12 In 3.64

Distance to the lowest polymorph of the same formula, eV/atom: 0.000
Space group: Pm-3m (221)

First-principles (PBE-GGA) data for crystalline VIn2Pt2 at its relaxed geometry, as listed in Alexandria.

Unit cell a=7.7953 b=7.7953 c=3.0869 alpha=90.00 beta=90.00 gamma=90.00
With the nearest neighbours (Å) after each atom.
Positions (direct):
In 0.3610 0.8610 0.0000  6 Pt 2.69-2.81
In 0.8610 0.6390 0.0000  6 Pt 2.69-2.81
In 0.6390 0.1390 0.0000  6 Pt 2.69-2.81
In 0.1390 0.3610 0.0000  6 Pt 2.69-2.81
Pt 0.1609 0.6609 0.5000  6 In 2.69-2.81
Pt 0.6609 0.8391 0.5000  6 In 2.69-2.81
Pt 0.8391 0.3391 0.5000  6 In 2.69-2.81
Pt 0.3391 0.1609 0.5000  6 In 2.69-2.81
V 0.0000 0.0000 0.0000  4 In 3.02, 2 V 3.09, 8 Pt 3.31
V 0.5000 0.5000 0.0000  4 In 3.02, 2 V 3.09, 8 Pt 3.31

Distance to the lowest polymorph of the same formula, eV/atom: 0.125
Space group: P4/mbm (127)

First-principles (PBE-GGA) data for crystalline V2InPt2 at its relaxed geometry, as listed in Alexandria.

Unit cell a=3.4889 b=3.4889 c=7.3142 alpha=76.20 beta=76.20 gamma=90.00
With the nearest neighbours (Å) after each atom.
Positions (direct):
In 0.0000 0.0000 0.0000  8 Pt 2.86
Pt 0.3955 0.3955 0.2090  4 V 2.66, 4 In 2.86, 1 Pt 2.88
Pt 0.6045 0.6045 0.7910  4 V 2.66, 4 In 2.86, 1 Pt 2.88
V 0.7500 0.2500 0.5000  4 V 2.47, 4 Pt 2.66
V 0.2500 0.7500 0.5000  4 V 2.47, 4 Pt 2.66

Space group: I4/mmm (139)

First-principles (PBE-GGA) data for crystalline VIn2Pt at its relaxed geometry, as listed in Alexandria.

Unit cell a=4.6922 b=4.6922 c=4.6922 alpha=60.00 beta=60.00 gamma=60.00
With the nearest neighbours (Å) after each atom.
Positions (direct):
In 0.2500 0.2500 0.2500  4 Pt 2.87, 4 V 2.87
In 0.7500 0.7500 0.7500  4 Pt 2.87, 4 V 2.87
Pt 0.5000 0.5000 0.5000  8 In 2.87
V 0.0000 0.0000 0.0000  8 In 2.87

Space group: Fm-3m (225)

First-principles (PBE-GGA) data for crystalline VInPt3 at its relaxed geometry, as listed in Alexandria.

Unit cell a=4.6952 b=4.6952 c=4.6952 alpha=90.00 beta=90.00 gamma=90.00
With the nearest neighbours (Å) after each atom.
Positions (direct):
In 0.5000 0.5000 0.5000  12 Pt 3.32
Pt 0.0000 0.5000 0.0000  2 V 2.35
Pt 0.0000 0.0000 0.5000  2 V 2.35
Pt 0.5000 0.0000 0.0000  2 V 2.35
V 0.0000 0.0000 0.0000  6 Pt 2.35

Distance to the lowest polymorph of the same formula, eV/atom: 0.000
Space group: Pm-3m (221)

First-principles (PBE-GGA) data for crystalline VInPt6 at its relaxed geometry, as listed in Alexandria.

Unit cell a=3.9742 b=3.9742 c=7.9966 alpha=90.00 beta=90.00 gamma=90.00
With the nearest neighbours (Å) after each atom.
Positions (direct):
V 0.0000 0.0000 0.5000  12 Pt 2.73-2.81
In 0.0000 0.0000 0.0000  12 Pt 2.81-2.91
Pt 0.5000 0.5000 0.0000  4 In 2.81, 8 Pt 2.91
Pt 0.5000 0.5000 0.5000  8 Pt 2.73, 4 V 2.81
Pt 0.5000 0.0000 0.2651  8 Pt 2.73-2.91, 2 V 2.73, 2 In 2.91
Pt 0.5000 0.0000 0.7349  8 Pt 2.73-2.91, 2 V 2.73, 2 In 2.91
Pt 0.0000 0.5000 0.2651  8 Pt 2.73-2.91, 2 V 2.73, 2 In 2.91
Pt 0.0000 0.5000 0.7349  8 Pt 2.73-2.91, 2 V 2.73, 2 In 2.91

Space group: P4/mmm (123)

First-principles (PBE-GGA) data for crystalline V2ZnInPt at its relaxed geometry, as listed in Alexandria.

Unit cell a=4.8886 b=5.0581 c=4.8886 alpha=90.00 beta=90.00 gamma=90.00
With the nearest neighbours (Å) after each atom.
Positions (direct):
Zn 0.5000 0.5000 0.5000  4 In 3.46, 8 V 3.52
V 0.0000 0.0000 0.5000  2 Pt 2.44
V 0.5000 0.0000 0.0000  2 Pt 2.44
Pt 0.0000 0.0000 0.0000  4 V 2.44, 2 In 2.53
In 0.0000 0.5000 0.0000  2 Pt 2.53

Space group: P4/mmm (123)

First-principles (PBE-GGA) data for crystalline In2PtW at its relaxed geometry, as listed in Alexandria.

Unit cell a=2.9623 b=2.9623 c=8.8808 alpha=90.00 beta=90.00 gamma=90.00
With the nearest neighbours (Å) after each atom.
Positions (direct):
In 0.0000 0.0000 0.9662  4 In 2.96, 4 W 3.00
In 0.5000 0.5000 0.2806  4 In 2.96, 4 Pt 3.04
Pt 0.0000 0.0000 0.5293  4 W 2.72, 4 Pt 2.96
W 0.5000 0.5000 0.7240  4 Pt 2.72, 4 W 2.96, 4 In 3.00

Distance to the lowest polymorph of the same formula, eV/atom: 0.005
Space group: P4mm (99)

First-principles (PBE-GGA) data for crystalline In2PtW at its relaxed geometry, as listed in Alexandria.

Unit cell a=4.4807 b=4.4807 c=3.6169 alpha=90.00 beta=90.00 gamma=90.00
With the nearest neighbours (Å) after each atom.
Positions (direct):
In 0.0000 0.0000 0.0000  4 W 2.88, 4 Pt 2.88, 4 In 3.17
In 0.5000 0.5000 0.0000  4 W 2.88, 4 Pt 2.88, 4 In 3.17
Pt 0.5000 0.0000 0.5000  8 In 2.88, 4 W 3.17
W 0.0000 0.5000 0.5000  8 In 2.88, 4 Pt 3.17

Distance to the lowest polymorph of the same formula, eV/atom: 0.118
Space group: P4/mmm (123)

First-principles (PBE-GGA) data for crystalline InPtW2 at its relaxed geometry, as listed in Alexandria.

Unit cell a=5.9741 b=5.9741 c=7.2475 alpha=65.66 beta=65.66 gamma=90.00
With the nearest neighbours (Å) after each atom.
Positions (direct):
W 0.6638 0.1250 0.2500  2 Pt 2.45, 2 In 2.72
W 0.0862 0.6250 0.2500  2 Pt 2.45, 2 In 2.72
W 0.3750 0.3362 0.7500  2 Pt 2.45, 2 In 2.72
W 0.8750 0.9138 0.7500  2 Pt 2.45, 2 In 2.72
Pt 0.0000 0.0000 0.0000  4 W 2.45
Pt 0.7500 0.2500 0.5000  4 W 2.45
In 0.5000 0.5000 0.0000  4 W 2.72
In 0.2500 0.7500 0.5000  4 W 2.72

Space group: I-42d (122)

First-principles (PBE-GGA) data for crystalline InPtW at its relaxed geometry, as listed in Alexandria.

Unit cell a=4.3950 b=4.3950 c=4.3950 alpha=60.00 beta=60.00 gamma=60.00
With the nearest neighbours (Å) after each atom.
Positions (direct):
In 0.5000 0.5000 0.5000  4 Pt 2.69
Pt 0.7500 0.7500 0.7500  4 In 2.69, 4 W 2.69
W 0.0000 0.0000 0.0000  4 Pt 2.69

Distance to the lowest polymorph of the same formula, eV/atom: 0.264
Space group: F-43m (216)

Looking at formation energy from the elements for the records above, in order, we have -13.46, -7.75, -1.92, 0.61, -0.92, -0.17, 0.90, 4.62, -1.68, 2.22, -0.30, -0.82, -0.31, 2.68, -3.62, 3.82, 0.48, 0.93, 7.11, 0.92 eV/f.u..